[1]
A plane-wave DFT calculation with GGA-PBE was carried out for an optimized crystal structure of Pu2In4Hg.

## Properties
**Space-group type**: Fmmm (69)
**ΔH_f (0 K)**: 0.022 eV/atom
**Density**: 9.83 Mg/m³

a b c (Å): 10.5948 6.0906 6.7360
angles (deg): 116.88 90.00 90.00
With the nearest neighbours (Å) after each atom.
Positions (direct):
1 Hg 0.0000 0.0000 0.0000  4 In 3.05-3.06
2 In 0.7500 0.7497 0.0000  4 In 3.00-3.05, 2 Hg 3.05-3.06
3 Pu 0.5000 0.8651 0.7302  1 Pu 3.24, 8 In 3.35-3.46, 2 Hg 3.45
4 In 0.2500 0.5000 0.5000  4 In 3.00-3.05, 4 Pu 3.35
5 Pu 0.0000 0.3651 0.7302  1 Pu 3.24, 8 In 3.35-3.46, 2 Hg 3.45
6 In 0.7500 0.0000 0.5000  4 In 3.00-3.05, 4 Pu 3.35
7 In 0.2500 0.0000 0.5000  4 In 3.00-3.05, 4 Pu 3.35
8 In 0.2500 0.7503 0.0000  4 In 3.00-3.05, 2 Hg 3.05-3.06
9 Pu 0.5000 0.1349 0.2698  1 Pu 3.24, 8 In 3.35-3.46, 2 Hg 3.45
10 In 0.7500 0.5000 0.5000  4 In 3.00-3.05, 4 Pu 3.35
11 Hg 0.5000 0.5000 0.0000  4 In 3.05-3.06
12 Pu 0.0000 0.6349 0.2698  1 Pu 3.24, 8 In 3.35-3.46, 2 Hg 3.45
13 In 0.2500 0.2503 0.0000  4 In 3.00-3.05, 2 Hg 3.05-3.06
14 In 0.7500 0.2497 0.0000  4 In 3.00-3.05, 2 Hg 3.05-3.06



[2]
A plane-wave DFT calculation with GGA-PBE was carried out for an optimized crystal structure of PuIn2Hg6.

## Properties
**Space-group type**: C2/m (12)
**ΔH_f (0 K)**: -0.048 eV/atom
**Density**: 12.02 Mg/m³

a b c (Å): 4.9756 6.4346 8.4297
angles (deg): 67.56 81.87 68.24
With the nearest neighbours (Å) after each atom.
Positions (direct):
1 Hg 0.1748 0.5053 0.8339  4 Hg 3.07-3.29, 3 In 3.10-3.24, 1 Pu 3.26
2 In 0.5000 0.1583 0.1835  8 Hg 3.10-3.24
3 Hg 0.3219 0.3525 0.5000  4 Hg 3.04-3.23, 2 Pu 3.23-3.29, 2 In 3.24
4 Hg 0.1748 0.8392 0.1661  4 Hg 3.07-3.29, 3 In 3.10-3.24, 1 Pu 3.26
5 Hg 0.8252 0.4947 0.1661  4 Hg 3.07-3.29, 3 In 3.10-3.24, 1 Pu 3.26
6 Hg 0.6781 0.6475 0.5000  4 Hg 3.04-3.23, 2 Pu 3.23-3.29, 2 In 3.24
7 In 0.5000 0.8417 0.8165  8 Hg 3.10-3.24
8 Pu 0.0000 0.0000 0.5000  8 Hg 3.23-3.29, 4 In 3.50
9 Hg 0.8252 0.1608 0.8339  4 Hg 3.07-3.29, 3 In 3.10-3.24, 1 Pu 3.26



[3]
A plane-wave DFT calculation with GGA-PBE was carried out for an optimized crystal structure of PuIn6Hg5.

## Properties
**Space-group type**: P-1 (2)
**ΔH_f (0 K)**: -0.032 eV/atom
**Density**: 10.38 Mg/m³

a b c (Å): 4.7782 9.1620 9.3194
angles (deg): 118.48 104.80 105.07
With the nearest neighbours (Å) after each atom.
Positions (direct):
1 Hg 0.5000 0.5000 0.5000  6 In 2.96-3.27
2 In 0.2136 0.7069 0.7197  5 Hg 2.96-3.31
3 Pu 0.0000 0.0000 0.0000  4 Hg 3.32-3.34, 8 In 3.34-3.44
4 Hg 0.4981 0.1420 0.8500  8 In 3.19-3.57, 2 Pu 3.32-3.34
5 Hg 0.0072 0.6877 0.3183  7 In 3.09-3.30
6 In 0.2612 0.4303 0.0867  6 Hg 3.11-3.40, 1 Pu 3.41, 2 In 3.43-3.47
7 Hg 0.5019 0.8580 0.1500  8 In 3.19-3.57, 2 Pu 3.32-3.34
8 In 0.2558 0.0920 0.4268  6 Hg 3.09-3.27, 1 Pu 3.44
9 In 0.7864 0.2931 0.2803  5 Hg 2.96-3.31
10 In 0.7388 0.5697 0.9133  6 Hg 3.11-3.40, 1 Pu 3.41, 2 In 3.43-3.47
11 In 0.7442 0.9080 0.5732  6 Hg 3.09-3.27, 1 Pu 3.44
12 Hg 0.9928 0.3123 0.6817  7 In 3.09-3.30



[4]
A plane-wave DFT calculation with GGA-PBE was carried out for an optimized crystal structure of PuIn4Hg7.

## Properties
**Space-group type**: P-1 (2)
**ΔH_f (0 K)**: -0.028 eV/atom
**Density**: 11.24 Mg/m³

a b c (Å): 6.5633 6.7559 11.0266
angles (deg): 68.38 43.72 69.50
With the nearest neighbours (Å) after each atom.
Positions (direct):
1 Hg 0.2360 0.8283 0.6687  6 Hg 3.15-3.51, 5 In 3.19-3.53, 1 Pu 3.28
2 Hg 0.9737 0.6753 0.3242  5 Hg 3.15-3.53, 5 In 3.19-3.32, 1 Pu 3.35
3 Hg 0.0263 0.3247 0.6758  5 Hg 3.15-3.53, 5 In 3.19-3.32, 1 Pu 3.35
4 Pu 0.0000 0.0000 0.0000  8 Hg 3.22-3.35, 4 In 3.43-3.45
5 Hg 0.7446 0.5032 0.0081  7 Hg 3.17-3.53, 2 In 3.19, 1 Pu 3.22
6 Hg 0.5000 0.0000 0.0000  6 Hg 3.17-3.42, 2 Pu 3.28, 4 In 3.30-3.48
7 In 0.5472 0.3283 0.6535  7 Hg 3.19-3.48, 2 In 3.21-3.31, 1 Pu 3.45
8 In 0.2657 0.1815 0.3287  7 Hg 3.19-3.53, 3 In 3.21-3.54, 1 Pu 3.43
9 Hg 0.7640 0.1717 0.3313  6 Hg 3.15-3.51, 5 In 3.19-3.53, 1 Pu 3.28
10 In 0.7343 0.8185 0.6713  7 Hg 3.19-3.53, 3 In 3.21-3.54, 1 Pu 3.43
11 Hg 0.2554 0.4968 0.9919  7 Hg 3.17-3.53, 2 In 3.19, 1 Pu 3.22
12 In 0.4528 0.6717 0.3465  7 Hg 3.19-3.48, 2 In 3.21-3.31, 1 Pu 3.45



[5]
A plane-wave DFT calculation with GGA-PBE was carried out for an optimized crystal structure of Pu5In4Hg.

## Properties
**Space-group type**: P4/mmm (123)
**ΔH_f (0 K)**: -0.174 eV/atom
**Density**: 12.29 Mg/m³

a b c (Å): 3.2138 3.2138 24.5871
angles (deg): 90.00 90.00 90.00
With the nearest neighbours (Å) after each atom.
Positions (direct):
1 Hg 0.0000 0.0000 0.0000  4 Hg 3.21, 8 Pu 3.31
2 In 0.0000 0.0000 0.1981  4 In 3.21, 8 Pu 3.35-3.36
3 In 0.0000 0.0000 0.3994  4 In 3.21, 8 Pu 3.36
4 Pu 0.5000 0.5000 0.9023  4 Pu 3.21, 4 Hg 3.31, 4 In 3.35
5 Pu 0.5000 0.5000 0.2990  4 Pu 3.21, 8 In 3.36
6 Pu 0.5000 0.5000 0.7010  4 Pu 3.21, 8 In 3.36
7 In 0.0000 0.0000 0.6006  4 In 3.21, 8 Pu 3.36
8 Pu 0.5000 0.5000 0.5000  4 Pu 3.21, 8 In 3.36
9 In 0.0000 0.0000 0.8019  4 In 3.21, 8 Pu 3.35-3.36
10 Pu 0.5000 0.5000 0.0977  4 Pu 3.21, 4 Hg 3.31, 4 In 3.35



[6]
A plane-wave DFT calculation with GGA-PBE was carried out for an optimized crystal structure of PuIn6Hg.

## Properties
**Space-group type**: Cmmm (65)
**ΔH_f (0 K)**: -0.061 eV/atom
**Density**: 9.05 Mg/m³

a b c (Å): 4.9621 6.6505 6.6505
angles (deg): 71.31 90.00 90.00
With the nearest neighbours (Å) after each atom.
Positions (direct):
1 Hg 0.5000 0.5000 0.5000  8 In 2.97-3.33
2 In 0.0000 0.7859 0.7859  8 In 3.17-3.49, 2 Pu 3.39
3 In 0.0000 0.2141 0.2141  8 In 3.17-3.49, 2 Pu 3.39
4 In 0.0000 0.7105 0.2895  2 Hg 2.97, 3 In 3.22-3.26
5 In 0.0000 0.2895 0.7105  2 Hg 2.97, 3 In 3.22-3.26
6 In 0.5000 0.5000 0.0000  4 In 3.17, 2 Hg 3.33, 2 Pu 3.33
7 Pu 0.5000 0.0000 0.0000  12 In 3.33-3.39
8 In 0.5000 0.0000 0.5000  4 In 3.17, 2 Pu 3.33, 2 Hg 3.33



[7]
A plane-wave DFT calculation with GGA-PBE was carried out for an optimized crystal structure of Pu2InHg3.

## Properties
**Space-group type**: Imm2 (44)
**ΔH_f (0 K)**: -0.084 eV/atom
**Density**: 13.00 Mg/m³

a b c (Å): 3.2480 3.2360 14.8203
angles (deg): 96.27 96.29 90.00
With the nearest neighbours (Å) after each atom.
Positions (direct):
1 Hg 0.7057 0.7057 0.4114  6 Hg 3.05-3.25, 4 Pu 3.30
2 Hg 0.2937 0.7937 0.5874  6 Hg 3.05-3.25, 4 Pu 3.30
3 Pu 0.8747 0.3747 0.7494  4 Pu 3.24-3.25, 4 Hg 3.30, 4 In 3.33
4 Pu 0.1247 0.1247 0.2495  4 Pu 3.24-3.25, 8 Hg 3.29-3.30
5 Hg 0.5441 0.5441 0.0883  2 In 3.02, 4 Hg 3.24-3.25, 4 Pu 3.29
6 In 0.4570 0.9570 0.9141  2 Hg 3.02, 4 In 3.24-3.25, 4 Pu 3.33



[8]
A plane-wave DFT calculation with GGA-PBE was carried out for an optimized crystal structure of Pu2InHg3.

## Properties
**Space-group type**: P6_3/mmc (194)
**ΔH_f (0 K)**: -0.079 eV/atom
**Density**: 13.23 Mg/m³

a b c (Å): 6.1361 6.1361 9.2727
angles (deg): 90.00 90.00 120.00
With the nearest neighbours (Å) after each atom.
Positions (direct):
1 Pu 0.3333 0.6667 0.9373  9 Hg 3.36-3.53, 4 Pu 3.47-3.73, 3 In 3.59
2 Hg 0.3468 0.1734 0.7500  4 Hg 2.94-3.19, 2 In 2.96
3 Hg 0.8266 0.6532 0.7500  4 Hg 2.94-3.19, 2 In 2.96
4 In 0.0000 0.0000 0.5000  6 Hg 2.96
5 Hg 0.8266 0.1734 0.7500  4 Hg 2.94-3.19, 2 In 2.96
6 Pu 0.3333 0.6667 0.5627  9 Hg 3.36-3.53, 4 Pu 3.47-3.73, 3 In 3.59
7 Hg 0.1734 0.3468 0.2500  4 Hg 2.94-3.19, 2 In 2.96
8 Hg 0.6532 0.8266 0.2500  4 Hg 2.94-3.19, 2 In 2.96
9 Pu 0.6667 0.3333 0.0627  9 Hg 3.36-3.53, 4 Pu 3.47-3.73, 3 In 3.59
10 In 0.0000 0.0000 0.0000  6 Hg 2.96
11 Pu 0.6667 0.3333 0.4373  9 Hg 3.36-3.53, 4 Pu 3.47-3.73, 3 In 3.59
12 Hg 0.1734 0.8266 0.2500  4 Hg 2.94-3.19, 2 In 2.96



Please write out number 5 again, unchanged.
A plane-wave DFT calculation with GGA-PBE was carried out for an optimized crystal structure of Pu5In4Hg.

## Properties
**Space-group type**: P4/mmm (123)
**ΔH_f (0 K)**: -0.174 eV/atom
**Density**: 12.29 Mg/m³

a b c (Å): 3.2138 3.2138 24.5871
angles (deg): 90.00 90.00 90.00
With the nearest neighbours (Å) after each atom.
Positions (direct):
1 Hg 0.0000 0.0000 0.0000  4 Hg 3.21, 8 Pu 3.31
2 In 0.0000 0.0000 0.1981  4 In 3.21, 8 Pu 3.35-3.36
3 In 0.0000 0.0000 0.3994  4 In 3.21, 8 Pu 3.36
4 Pu 0.5000 0.5000 0.9023  4 Pu 3.21, 4 Hg 3.31, 4 In 3.35
5 Pu 0.5000 0.5000 0.2990  4 Pu 3.21, 8 In 3.36
6 Pu 0.5000 0.5000 0.7010  4 Pu 3.21, 8 In 3.36
7 In 0.0000 0.0000 0.6006  4 In 3.21, 8 Pu 3.36
8 Pu 0.5000 0.5000 0.5000  4 Pu 3.21, 8 In 3.36
9 In 0.0000 0.0000 0.8019  4 In 3.21, 8 Pu 3.35-3.36
10 Pu 0.5000 0.5000 0.0977  4 Pu 3.21, 4 Hg 3.31, 4 In 3.35